[1]
BaGa2CoC after structural relaxation. Source: Alexandria via LeMat-Bulk, functional PBE. Values from VASP.

Quantum ESPRESSO input file:
```
&SYSTEM
  ibrav = 0, nat = 5, ntyp = 4
/
ATOMIC_SPECIES
Ba 137.33 Ba.upf
Ga 69.72 Ga.upf
Co 58.93 Co.upf
C 12.01 C.upf
ATOMIC_POSITIONS angstrom
Ba 0.000 0.000 0.000
Ga 0.000 2.262 2.957
Ga 2.262 0.000 2.957
Co 0.000 0.000 2.957
C 2.262 2.262 0.000
CELL_PARAMETERS angstrom
4.525 0.000 0.000
0.000 4.525 0.000
0.000 0.000 5.914
```

energy of formation from the pure elements	0.850	eV/atom
crystal system	tetragonal
magnetization	2.5	μB per formula unit
N(E_F)	2.71	states/eV/f.u.
space group	P4/mmm, No. 123
calculated density	4769	kg/m³


[2]
BaHfCoC2 after structural relaxation. Source: Alexandria via LeMat-Bulk, functional PBE. Values from VASP.

Quantum ESPRESSO input file:
```
&SYSTEM
  ibrav = 0, nat = 5, ntyp = 4
/
ATOMIC_SPECIES
Ba 137.33 Ba.upf
Hf 178.49 Hf.upf
Co 58.93 Co.upf
C 12.01 C.upf
ATOMIC_POSITIONS angstrom
Ba 0.000 0.000 0.000
Hf 2.074 2.074 0.000
Co 2.074 2.074 2.326
C 0.000 2.074 2.326
C 2.074 0.000 2.326
CELL_PARAMETERS angstrom
4.149 0.000 0.000
0.000 4.149 0.000
0.000 0.000 4.651
```

energy of formation from the pure elements	1.603	eV/atom
crystal system	tetragonal
magnetization	0.0	μB per formula unit
N(E_F)	5.29	states/eV/f.u.
space group	P4/mmm, No. 123
calculated density	8271	kg/m³


[3]
Ba3CoC3N3 after structural relaxation. Source: Alexandria via LeMat-Bulk, functional PBE. Values from VASP.

Quantum ESPRESSO input file:
```
&SYSTEM
  ibrav = 0, nat = 20, ntyp = 4
/
ATOMIC_SPECIES
Ba 137.33 Ba.upf
Co 58.93 Co.upf
C 12.01 C.upf
N 14.01 N.upf
ATOMIC_POSITIONS angstrom
Ba -1.096 2.997 1.459
Ba -1.427 7.368 1.459
Ba 2.048 2.448 4.376
Ba 2.523 5.470 1.459
Ba 5.999 0.549 4.376
Ba 5.667 4.920 4.376
Co 0.000 5.278 4.376
Co 4.571 2.639 1.459
C -0.684 3.646 4.376
C -1.072 6.687 4.376
C 2.816 2.415 1.459
C 1.756 5.502 4.376
C 5.643 1.231 1.459
C 5.255 4.272 1.459
N -1.152 2.494 4.376
N -1.835 7.669 4.376
N 1.584 2.245 1.459
N 2.988 5.673 4.376
N 6.407 0.249 1.459
N 5.724 5.424 1.459
CELL_PARAMETERS angstrom
9.143 0.000 0.000
-4.571 7.918 0.000
0.000 0.000 5.834
```

crystal system	hexagonal
magnetization	0.0	μB per formula unit
raw formation energy	-0.592	eV/atom
space group	P6_3/m, No. 176
calculated density	4317	kg/m³